Entry from the Alexandria database: a relaxed MgHg2Mo crystal (PBE).

Cell lengths 4.8388, 4.8388, 4.8388 Å; angles 60.00, 60.00, 60.00 degrees
With the nearest neighbours (Å) after each atom.
Atoms (fractional coordinates):
Hg: 0.0000 0.0000 0.0000  4 Hg 2.96, 4 Mo 2.96
Hg: 0.7500 0.7500 0.7500  4 Hg 2.96, 4 Mg 2.96
Mg: 0.5000 0.5000 0.5000  4 Mo 2.96, 4 Hg 2.96
Mo: 0.2500 0.2500 0.2500  4 Mg 2.96, 4 Hg 2.96



Entry from the Alexandria database: a relaxed MgHg2Mo crystal (PBE).

Cell lengths 6.7386, 5.1481, 3.0156 Å; angles 89.99, 63.43, 121.57 degrees
With the nearest neighbours (Å) after each atom.
Atoms (fractional coordinates):
Hg: 0.0000 0.0000 0.0000  4 Mg 2.98, 4 Mo 2.98, 4 Hg 3.01-3.02
Hg: 0.5000 0.0000 0.5000  4 Mo 2.98, 4 Mg 2.98, 4 Hg 3.01-3.02
Mg: 0.0000 0.5000 0.5000  8 Hg 2.98, 2 Mo 3.01, 2 Mg 3.02
Mo: 0.5000 0.5000 0.0000  8 Hg 2.98, 2 Mg 3.01, 2 Mo 3.02



Entry from the Alexandria database: a relaxed Mg2HgMo crystal (PBE).

Cell lengths 5.2514, 5.2514, 2.9213 Å; angles 90.00, 90.00, 110.62 degrees
With the nearest neighbours (Å) after each atom.
Atoms (fractional coordinates):
Hg: 0.0000 0.5000 0.5000  2 Hg 2.92, 2 Mo 2.99, 8 Mg 3.00
Mg: 0.0000 0.0000 0.0000  4 Mg 2.92-2.99, 4 Mo 3.00, 4 Hg 3.00
Mg: 0.5000 0.5000 0.0000  4 Mg 2.92-2.99, 4 Hg 3.00, 4 Mo 3.00
Mo: 0.5000 0.0000 0.5000  2 Mo 2.92, 2 Hg 2.99, 8 Mg 3.00



Which formation energy from the elements belongs to each record? In order, 0.588; 0.275; 0.233 eV/atom.